Entry from Alexandria via LeMat-Bulk: a relaxed YAgN2 crystal (PBE).

Summary:
polymorph energy (0 for the lowest one): 22.51 kcal/mol of atoms
density of states at the Fermi level: 6.22 states/eV per cell
magnetization: 0.00 μB per cell

Cell lengths 6.6172, 6.6172, 6.6172 Å; angles 30.58, 30.58, 30.58 degrees
Last column: nearest neighbours and their distance in Å.
Sites, in units of the cell vectors:
Y (0.0000, 0.0000, 0.0000)  2 N 2.23
Ag (0.5000, 0.5000, 0.5000)  6 N 2.22
N (0.8820, 0.8820, 0.8820)  3 Ag 2.22, 1 Y 2.23
N (0.1180, 0.1180, 0.1180)  3 Ag 2.22, 1 Y 2.23

Entry from Alexandria via LeMat-Bulk: a relaxed Y3AgN crystal (PBE).

Summary:
polymorph energy (0 for the lowest one): 0.00 kcal/mol of atoms
density of states at the Fermi level: 18.43 states/eV per cell
magnetization: 0.00 μB per cell

Cell lengths 6.7507, 6.7507, 11.6367 Å; angles 74.10, 74.10, 60.94 degrees
Last column: nearest neighbours and their distance in Å.
Sites, in units of the cell vectors:
Y (0.8530, 0.8535, 0.8533)  2 N 2.44-2.45
Y (0.1465, 0.1470, 0.6467)  2 N 2.44-2.45
Y (0.1470, 0.1465, 0.1467)  2 N 2.44-2.45
Y (0.8535, 0.8530, 0.3533)  2 N 2.44-2.45
Y (0.6466, 0.6468, 0.6466)  2 N 2.45
Y (0.3532, 0.3534, 0.8534)  2 N 2.45
Y (0.3534, 0.3532, 0.3534)  2 N 2.45
Y (0.6468, 0.6466, 0.1466)  2 N 2.45
Y (0.3335, 0.8337, 0.9163)  2 N 2.43
Y (0.1663, 0.6665, 0.5837)  2 N 2.43
Y (0.8337, 0.3335, 0.4163)  2 N 2.43
Y (0.6665, 0.1663, 0.0837)  2 N 2.43
Ag (0.8795, 0.3800, 0.8701)  5 Y 2.90-3.07
Ag (0.6200, 0.1205, 0.6299)  5 Y 2.90-3.07
Ag (0.1205, 0.6200, 0.1299)  5 Y 2.90-3.07
Ag (0.3800, 0.8795, 0.3701)  5 Y 2.90-3.07
N (0.0000, 0.5000, 0.5000)  6 Y 2.43-2.45
N (0.5000, 0.0000, 0.0000)  6 Y 2.43-2.45
N (0.7502, 0.2498, 0.2500)  6 Y 2.43-2.45
N (0.2498, 0.7502, 0.7500)  6 Y 2.43-2.45

Entry from Alexandria via LeMat-Bulk: a relaxed YAgN3 crystal (PBE).

Summary:
density of states at the Fermi level: 3.58 states/eV per cell
magnetization: 0.97 μB per cell

Cell lengths 4.0305, 4.0305, 4.0305 Å; angles 90.00, 90.00, 90.00 degrees
Last column: nearest neighbours and their distance in Å.
Sites, in units of the cell vectors:
Y (0.5000, 0.5000, 0.5000)  12 N 2.85
Ag (0.0000, 0.0000, 0.0000)  6 N 2.02
N (0.0000, 0.5000, 0.0000)  2 Ag 2.02
N (0.0000, 0.0000, 0.5000)  2 Ag 2.02
N (0.5000, 0.0000, 0.0000)  2 Ag 2.02

Entry from Alexandria via LeMat-Bulk: a relaxed YAgN2 crystal (PBE).

Summary:
polymorph energy (0 for the lowest one): 0.00 kcal/mol of atoms
density of states at the Fermi level: 4.00 states/eV per cell
magnetization: 0.00 μB per cell

Cell lengths 6.4515, 6.4515, 6.4515 Å; angles 32.90, 32.90, 32.90 degrees
Last column: nearest neighbours and their distance in Å.
Sites, in units of the cell vectors:
Y (0.5000, 0.5000, 0.5000)  6 N 2.36
Ag (0.0000, 0.0000, 0.0000)  2 N 2.00
N (0.8906, 0.8906, 0.8906)  1 Ag 2.00
N (0.1094, 0.1094, 0.1094)  1 Ag 2.00

Entry from Alexandria via LeMat-Bulk: a relaxed YZr2AgN crystal (PBE).

Summary:
density of states at the Fermi level: 3.67 states/eV per cell
magnetization: 0.00 μB per cell

Cell lengths 4.5043, 4.5043, 4.7724 Å; angles 90.00, 90.00, 90.00 degrees
Last column: nearest neighbours and their distance in Å.
Sites, in units of the cell vectors:
Y (0.0000, 0.0000, 0.5000)  2 N 2.39
Zr (0.0000, 0.5000, 0.0000)  2 N 2.25
Zr (0.5000, 0.0000, 0.0000)  2 N 2.25
Ag (0.5000, 0.5000, 0.5000)  4 Y 3.18, 8 Zr 3.28
N (0.0000, 0.0000, 0.0000)  4 Zr 2.25, 2 Y 2.39

Entry from Alexandria via LeMat-Bulk: a relaxed Y2ZrAgN crystal (PBE).

Summary:
density of states at the Fermi level: 5.32 states/eV per cell
magnetization: 0.00 μB per cell

Cell lengths 4.8321, 4.8321, 4.4519 Å; angles 90.00, 90.00, 90.00 degrees
Last column: nearest neighbours and their distance in Å.
Sites, in units of the cell vectors:
Y (0.0000, 0.5000, 0.0000)  2 N 2.42
Y (0.5000, 0.0000, 0.0000)  2 N 2.42
Zr (0.0000, 0.0000, 0.5000)  2 N 2.23
Ag (0.5000, 0.5000, 0.5000)  8 Y 3.29, 4 Zr 3.42
N (0.0000, 0.0000, 0.0000)  2 Zr 2.23, 4 Y 2.42

Entry from Alexandria via LeMat-Bulk: a relaxed Zn2Ag2N crystal (PBE).

Summary:
polymorph energy (0 for the lowest one): 0.00 kcal/mol of atoms
density of states at the Fermi level: 6.71 states/eV per cell
magnetization: 0.00 μB per cell

Cell lengths 6.0790, 6.0790, 4.3211 Å; angles 90.00, 90.00, 90.00 degrees
Last column: nearest neighbours and their distance in Å.
Sites, in units of the cell vectors:
Zn (0.1484, 0.6484, 0.5000)  1 Zn 2.55, 2 Ag 2.65
Zn (0.6484, 0.8516, 0.5000)  1 Zn 2.55, 2 Ag 2.65
Zn (0.8516, 0.3516, 0.5000)  1 Zn 2.55, 2 Ag 2.65
Zn (0.3516, 0.1484, 0.5000)  1 Zn 2.55, 2 Ag 2.65
Ag (0.3272, 0.8272, 0.0000)  2 N 2.25
Ag (0.8272, 0.6728, 0.0000)  2 N 2.25
Ag (0.6728, 0.1728, 0.0000)  2 N 2.25
Ag (0.1728, 0.3272, 0.0000)  2 N 2.25
N (0.0000, 0.0000, 0.0000)  4 Ag 2.25
N (0.5000, 0.5000, 0.0000)  4 Ag 2.25

Entry from Alexandria via LeMat-Bulk: a relaxed Zn2Ag2N crystal (PBE).

Summary:
polymorph energy (0 for the lowest one): 3.53 kcal/mol of atoms
density of states at the Fermi level: 1.28 states/eV per cell
magnetization: 1.06 μB per cell

Cell lengths 3.3934, 3.3934, 7.3353 Å; angles 76.63, 76.63, 90.00 degrees
Last column: nearest neighbours and their distance in Å.
Sites, in units of the cell vectors:
Zn (0.7500, 0.2500, 0.5000)  4 Zn 2.40
Zn (0.2500, 0.7500, 0.5000)  4 Zn 2.40
Ag (0.4038, 0.4038, 0.1924)  1 Ag 2.67, 4 Zn 2.72, 4 N 2.75
Ag (0.5962, 0.5962, 0.8076)  1 Ag 2.67, 4 Zn 2.72, 4 N 2.75
N (0.0000, 0.0000, 0.0000)  8 Ag 2.75

Entry from Alexandria via LeMat-Bulk: a relaxed Zn2AgN crystal (PBE).

Summary:
density of states at the Fermi level: 0.45 states/eV per cell
magnetization: 0.00 μB per cell

Cell lengths 3.1114, 3.1114, 7.6715 Å; angles 78.30, 78.30, 60.00 degrees
Last column: nearest neighbours and their distance in Å.
Sites, in units of the cell vectors:
Zn (0.1187, 0.1187, 0.6438)  3 N 2.09
Zn (0.8813, 0.8813, 0.3562)  3 N 2.09
Ag (0.0000, 0.0000, 0.0000)  2 Zn 2.66
N (0.5000, 0.5000, 0.5000)  6 Zn 2.09

Entry from Alexandria via LeMat-Bulk: a relaxed Zn2AgN crystal (PBE).

Summary:
density of states at the Fermi level: 1.95 states/eV per cell
magnetization: 0.00 μB per cell

Cell lengths 5.6722, 5.6722, 5.9074 Å; angles 61.31, 61.31, 90.00 degrees
Last column: nearest neighbours and their distance in Å.
Sites, in units of the cell vectors:
Zn (0.5009, 0.1250, 0.2500)  2 N 1.92
Zn (0.2491, 0.6250, 0.2500)  2 N 1.92
Zn (0.3750, 0.4991, 0.7500)  2 N 1.92
Zn (0.8750, 0.7509, 0.7500)  2 N 1.92
Ag (0.0000, 0.0000, 0.0000)  4 Zn 2.77
Ag (0.7500, 0.2500, 0.5000)  4 Zn 2.77
N (0.5000, 0.5000, 0.0000)  4 Zn 1.92
N (0.2500, 0.7500, 0.5000)  4 Zn 1.92

Entry from Alexandria via LeMat-Bulk: a relaxed ZrAgN2 crystal (PBE).

Summary:
polymorph energy (0 for the lowest one): 0.00 kcal/mol of atoms
density of states at the Fermi level: 6.16 states/eV per cell
magnetization: 0.00 μB per cell

Cell lengths 6.5271, 6.5271, 6.5271 Å; angles 29.95, 29.95, 29.95 degrees
Last column: nearest neighbours and their distance in Å.
Sites, in units of the cell vectors:
Zr (0.5000, 0.5000, 0.5000)  6 N 2.21
Ag (0.0000, 0.0000, 0.0000)  2 N 2.06
N (0.8897, 0.8897, 0.8897)  1 Ag 2.06, 3 Zr 2.21
N (0.1103, 0.1103, 0.1103)  1 Ag 2.06, 3 Zr 2.21

Entry from Alexandria via LeMat-Bulk: a relaxed ZrAgN2 crystal (PBE).

Summary:
polymorph energy (0 for the lowest one): 13.63 kcal/mol of atoms
density of states at the Fermi level: 3.86 states/eV per cell
magnetization: 0.00 μB per cell

Cell lengths 4.0503, 4.0503, 4.0503 Å; angles 60.00, 60.00, 60.00 degrees
Last column: nearest neighbours and their distance in Å.
Sites, in units of the cell vectors:
Zr (0.0000, 0.0000, 0.0000)  8 N 2.48
Ag (0.5000, 0.5000, 0.5000)  8 N 2.48
N (0.2500, 0.2500, 0.2500)  4 Ag 2.48, 4 Zr 2.48
N (0.7500, 0.7500, 0.7500)  4 Ag 2.48, 4 Zr 2.48

Looking at V for the records above, in order, we have 66.5; 439.5; 65.5; 70.5; 96.8; 103.9; 159.7; 79.8; 62.5; 139.5; 61.4; 47.0 Å³/cell.
Looking at formation energy from raw total energies for the records above, in order, we have 1.079; -0.812; 1.124; 0.103; -0.709; -0.719; 0.755; 0.908; 0.367; 0.265; -0.303; 0.288 eV per atom.